Record 1
Entry from Alexandria via LeMat-Bulk: a geometry-optimized SmErHgAu structure (PBE).

Results
The value obtained for the magnetic moment is 0.000 μB/cell. As for the crystal system: tetragonal. The formation energy from the elements comes out at -657 meV per atom.

a b c (Å): 3.6776 3.6776 7.3778
angles (deg): 90.00 90.00 90.00
Fractional coordinates of all 4 atoms:
Sm: 0.0000 0.0000 0.0000
Er: 0.0000 0.0000 0.4778
Hg: 0.5000 0.5000 0.7283
Au: 0.5000 0.5000 0.2595


Record 2
Entry from Alexandria via LeMat-Bulk: a geometry-optimized SmErHgAu structure (PBE).

Results
The value obtained for the magnetic moment is 0.000 μB/cell. As for the crystal system: cubic. The formation energy from the elements comes out at -639 meV per atom.

a b c (Å): 5.2089 5.2089 5.2089
angles (deg): 60.00 60.00 60.00
Fractional coordinates of all 4 atoms:
Sm: 0.0000 0.0000 0.0000
Er: 0.5000 0.5000 0.5000
Hg: 0.2500 0.2500 0.2500
Au: 0.7500 0.7500 0.7500


Record 3
Entry from Alexandria via LeMat-Bulk: a geometry-optimized SrErHgAu structure (PBE).

Results
The value obtained for the magnetic moment is 0.000 μB/cell. As for the crystal system: cubic. The formation energy from the elements comes out at -559 meV per atom.

a b c (Å): 5.3135 5.3135 5.3135
angles (deg): 60.00 60.00 60.00
Fractional coordinates of all 4 atoms:
Sr: 0.0000 0.0000 0.0000
Er: 0.5000 0.5000 0.5000
Hg: 0.7500 0.7500 0.7500
Au: 0.2500 0.2500 0.2500


Record 4
Entry from Alexandria via LeMat-Bulk: a geometry-optimized ErThHgAu structure (PBE).

Results
The value obtained for the magnetic moment is 0.568 μB/cell. As for the crystal system: cubic. The formation energy from the elements comes out at -481 meV per atom.

a b c (Å): 5.2528 5.2528 5.2528
angles (deg): 60.00 60.00 60.00
Fractional coordinates of all 4 atoms:
Er: 0.0000 0.0000 0.0000
Th: 0.5000 0.5000 0.5000
Hg: 0.2500 0.2500 0.2500
Au: 0.7500 0.7500 0.7500


Record 5
Entry from Alexandria via LeMat-Bulk: a geometry-optimized ErThHgAu structure (PBE).

Results
The value obtained for the magnetic moment is 0.006 μB/cell. As for the crystal system: tetragonal. The formation energy from the elements comes out at -536 meV per atom.

a b c (Å): 3.6228 3.6228 7.6987
angles (deg): 90.00 90.00 90.00
Fractional coordinates of all 4 atoms:
Er: 0.0000 0.0000 0.0000
Th: 0.0000 0.0000 0.4759
Hg: 0.5000 0.5000 0.7556
Au: 0.5000 0.5000 0.2083


Record 6
Entry from Alexandria via LeMat-Bulk: a geometry-optimized ErTlHgAu structure (PBE).

Results
The value obtained for the magnetic moment is 0.000 μB/cell. As for the crystal system: cubic. The formation energy from the elements comes out at -386 meV per atom.

a b c (Å): 5.0879 5.0879 5.0879
angles (deg): 60.00 60.00 60.00
Fractional coordinates of all 4 atoms:
Er: 0.0000 0.0000 0.0000
Tl: 0.5000 0.5000 0.5000
Hg: 0.7500 0.7500 0.7500
Au: 0.2500 0.2500 0.2500


Record 7
Entry from Alexandria via LeMat-Bulk: a geometry-optimized Er4Tl2HgAu structure (PBE).

Results
The value obtained for the magnetic moment is 0.000 μB/cell. As for the crystal system: trigonal. The formation energy from the elements comes out at -480 meV per atom.

a b c (Å): 9.0556 9.0556 9.0556
angles (deg): 33.63 33.63 33.63
Fractional coordinates of all 8 atoms:
Er: 0.1212 0.1212 0.1212
Er: 0.3718 0.3718 0.3718
Er: 0.6282 0.6282 0.6282
Er: 0.8788 0.8788 0.8788
Tl: 0.2474 0.2474 0.2474
Tl: 0.7526 0.7526 0.7526
Hg: 0.5000 0.5000 0.5000
Au: 0.0000 0.0000 0.0000


Record 8
Entry from Alexandria via LeMat-Bulk: a geometry-optimized ErTmHgAu structure (PBE).

Results
The value obtained for the magnetic moment is 0.000 μB/cell. As for the crystal system: cubic. The formation energy from the elements comes out at -674 meV per atom.

a b c (Å): 5.1212 5.1212 5.1212
angles (deg): 60.00 60.00 60.00
Fractional coordinates of all 4 atoms:
Er: 0.0000 0.0000 0.0000
Tm: 0.5000 0.5000 0.5000
Hg: 0.7500 0.7500 0.7500
Au: 0.2500 0.2500 0.2500